SrGa3Mo (PBE, relaxed); mass density = 5.40 g/cm3; total moment = 0.00 μB/atom; space-group type = No. 221; excess energy over the best structure of this formula in the dataset = 0 meV/atom
1.0
4.943 0.000 0.000
0.000 4.943 0.000
0.000 0.000 4.943
Ga Sr Mo
3 1 1
Cartesian
0.000 2.471 0.000 Ga
2.471 0.000 0.000 Ga
0.000 0.000 2.471 Ga
2.471 2.471 2.471 Sr
0.000 0.000 0.000 Mo

***

SrGaMo3 (PBE, relaxed); mass density = 6.66 g/cm3; total moment = 0.00 μB/atom; space-group type = No. 221; excess energy over the best structure of this formula in the dataset = 1557 meV/atom
1.0
-0.715 -2.651 -3.943
1.175 -3.962 2.451
-4.604 -0.599 1.237
Mo Sr Ga
3 1 1
Cartesian
-0.357 -1.325 -1.972 Mo
0.587 -1.981 1.225 Mo
-2.302 -0.300 0.619 Mo
0.000 0.000 0.000 Sr
-2.072 -3.606 -0.128 Ga

***

TaGa2Mo (PBE, relaxed); mass density = 9.95 g/cm3; total moment = 0.00 μB/atom; space-group type = No. 2; excess energy over the best structure of this formula in the dataset = 371 meV/atom
1.0
-1.090 0.899 3.322
3.425 -4.621 2.440
4.755 4.165 -1.492
Mo Ga Ta
2 4 2
Cartesian
2.378 2.082 -0.746 Mo
3.545 0.221 2.135 Mo
1.253 0.836 1.184 Ga
2.421 -1.025 4.065 Ga
5.837 -0.394 3.087 Ga
4.670 1.467 0.206 Ga
4.794 3.684 1.610 Ta
2.297 -3.241 2.661 Ta

***

TaGa2Mo2 (PBE, relaxed); mass density = 9.97 g/cm3; total moment = 0.00 μB/atom; space-group type = No. 139; excess energy over the best structure of this formula in the dataset = 369 meV/atom
1.0
-2.072 1.848 -2.102
-1.587 -2.929 -1.011
-6.490 0.180 3.672
Ga Ta Mo
2 1 2
Cartesian
-5.196 0.744 0.007 Ga
-4.953 -1.645 0.553 Ga
0.000 0.000 0.000 Ta
-2.741 -0.400 -0.533 Mo
-7.408 -0.502 1.093 Mo

***

Ta6GaMo5 (PBE, relaxed); mass density = 13.38 g/cm3; total DFT energy (no corrections) = -10.88 eV per atom; total moment = 0.00 μB/atom; space-group type = No. 71
1.0
4.373 0.018 -1.276
-0.891 5.709 -2.973
-0.067 0.410 7.909
Ta Mo Ga
6 5 1
Cartesian
-0.101 5.366 -0.271 Ta
0.338 2.549 1.196 Ta
3.516 0.771 3.931 Ta
1.527 4.238 -2.840 Ta
3.077 3.588 2.464 Ta
1.956 1.490 -1.409 Ta
2.725 1.061 1.222 Mo
-0.446 2.855 -1.487 Mo
2.305 3.966 -0.176 Mo
0.691 5.076 2.438 Mo
1.110 2.171 3.836 Mo
0.000 0.000 0.000 Ga

***

TaGa3Mo (PBE, relaxed); mass density = 6.67 g/cm3; total moment = 0.70 μB/atom; space-group type = No. 221; excess energy over the best structure of this formula in the dataset = 60 meV/atom
1.0
-3.090 3.861 -0.057
-1.154 -0.993 -4.706
-3.685 -2.927 1.521
Mo Ga Ta
1 3 1
Cartesian
-3.964 -0.029 -1.621 Mo
-1.843 -1.463 0.760 Ga
-0.577 -0.496 -2.353 Ga
-1.545 1.931 -0.029 Ga
0.000 0.000 0.000 Ta

***

Q: The lowest mass density belongs to which entry?
A: SrGa3Mo